A plane-wave DFT calculation with PBE+U was carried out for a geometry-optimized PuMnAlO6 structure.

Lattice parameters (Å, degrees): 5.1580 5.1580 9.2864 90.00 90.00 120.00
Atoms (fractional coordinates):
1 Pu 0.3333 0.6667 0.2500
2 Pu 0.6667 0.3333 0.7500
3 Mn 0.0000 0.0000 0.0000
4 Mn 0.0000 0.0000 0.5000
5 Al 0.3333 0.6667 0.7500
6 Al 0.6667 0.3333 0.2500
7 O 0.0140 0.3577 0.6364
8 O 0.0140 0.6563 0.8636
9 O 0.3437 0.3577 0.8636
10 O 0.3437 0.9860 0.6364
11 O 0.3577 0.0140 0.1364
12 O 0.3577 0.3437 0.3636
13 O 0.6423 0.6563 0.6364
14 O 0.6423 0.9860 0.8636
15 O 0.6563 0.0140 0.3636
16 O 0.6563 0.6423 0.1364
17 O 0.9860 0.3437 0.1364
18 O 0.9860 0.6423 0.3636

Summary:
total DFT energy (no corrections): -8.431 eV per atom